LiAs2Au: optimized geometry, PBE.

Formation energy in kJ per mole of atoms: -22.8
Total magnetic moment in μB per formula unit: 0.00

Unit cell a=4.5544 b=4.0433 c=4.5942 alpha=90.00 beta=96.20 gamma=90.00
Last column: nearest neighbours and their distance in Å.
Space group P2/m (No. 10)
Symmetry-distinct sites (fractional):
Li (0.0000, 0.0000, 0.0000) x1  4 As 2.74, 2 Au 3.05
As (0.3179, 0.5000, 0.7815) x2  1 As 2.46, 2 Au 2.58, 2 Li 2.74
Au (0.5000, 0.0000, 0.5000) x1  4 As 2.58

---

CuPb2Au: optimized geometry, PBE.

Formation energy in kJ per mole of atoms: 15.4
Total magnetic moment in μB per formula unit: 0.00

Unit cell a=7.1780 b=7.1780 c=7.1780 alpha=90.00 beta=90.00 gamma=90.00
Last column: nearest neighbours and their distance in Å.
Space group Fm-3m (No. 225)
Symmetry-distinct sites (fractional):
Cu (0.0000, 0.0000, 0.0000) x4  8 Pb 3.11
Pb (0.2500, 0.2500, 0.2500) x8  4 Cu 3.11, 4 Au 3.11
Au (0.0000, 0.0000, 0.5000) x4  8 Pb 3.11

---

BaAsH2Rh2: optimized geometry, PBE.

Electronic total energy in eV per cell: -61.6
Total magnetic moment in μB per formula unit: 0.00

Unit cell a=6.3676 b=5.6238 c=6.5321 alpha=90.00 beta=102.17 gamma=90.00
Last column: nearest neighbours and their distance in Å.
Space group P2_1/m (No. 11)
Symmetry-distinct sites (fractional):
Ba (0.1913, 0.2500, 0.3093) x2  2 H 2.79-2.85
As (0.3653, 0.7500, 0.1166) x2  4 Rh 2.41
H (0.1522, 0.2500, 0.7271) x2  2 Rh 1.78
H (0.2441, 0.7500, 0.6437) x2  2 Rh 1.79
Rh (0.3204, 0.0001, 0.8117) x4  2 H 1.78-1.79

---

CsTlGa3: optimized geometry, PBE.

Formation energy in kJ per mole of atoms: 104.5
Total magnetic moment in μB per formula unit: 1.58

Unit cell a=6.1295 b=6.1295 c=6.1295 alpha=90.00 beta=90.00 gamma=90.00
Last column: nearest neighbours and their distance in Å.
Space group Pm-3m (No. 221)
Symmetry-distinct sites (fractional):
Cs (0.0000, 0.0000, 0.0000) x1  6 Ga 3.06
Tl (0.5000, 0.5000, 0.5000) x1  12 Ga 4.33
Ga (0.0000, 0.0000, 0.5000) x3  2 Cs 3.06